1.
# ScCu2SnF

A geometry-optimized ScCu2SnF structure (GGA-PBE, Alexandria).

abc: 4.8920 4.8920 4.2790
angles: 90.00 90.00 90.00
With the nearest neighbours (Å) after each atom.
Space group P4/mmm (No. 123)
One atom of each set of equivalent atoms:
Sc  0.0000  0.0000  0.0000 (multiplicity 1)  8 Cu 3.25, 4 F 3.46
Cu  0.0000  0.5000  0.5000 (multiplicity 2)  2 Sn 2.45
Sn  0.5000  0.5000  0.5000 (multiplicity 1)  2 F 2.14
F  0.5000  0.5000  0.0000 (multiplicity 1)  2 Sn 2.14

Calculated values
D(E_F): 0.636 states/eV/atom
Crystal system: tetragonal
Calculated total energy: -4.242 eV/atom
Formation energy from raw total energies: -0.163 eV per atom


2.
# Sr2ScCuF

A geometry-optimized Sr2ScCuF structure (GGA-PBE, Alexandria).

abc: 6.3966 6.3966 4.5038
angles: 90.00 90.00 90.00
With the nearest neighbours (Å) after each atom.
Space group P4/mmm (No. 123)
One atom of each set of equivalent atoms:
Sr  0.0000  0.5000  0.0000 (multiplicity 2)  2 Sc 3.20
Sc  0.0000  0.0000  0.0000 (multiplicity 1)  2 Cu 2.25
Cu  0.0000  0.0000  0.5000 (multiplicity 1)  2 Sc 2.25
F  0.5000  0.5000  0.5000 (multiplicity 1)  8 Sr 3.91

Calculated values
D(E_F): 0.666 states/eV/atom
Crystal system: tetragonal
Calculated total energy: -3.074 eV/atom
Formation energy from raw total energies: 0.059 eV per atom


3.
# SrScCu2F

A geometry-optimized SrScCu2F structure (GGA-PBE, Alexandria).

abc: 5.0079 5.0079 4.3779
angles: 90.00 90.00 90.00
With the nearest neighbours (Å) after each atom.
Space group P4/mmm (No. 123)
One atom of each set of equivalent atoms:
Sr  0.0000  0.0000  0.0000 (multiplicity 1)  2 F 2.19
Sc  0.5000  0.5000  0.0000 (multiplicity 1)  8 Cu 3.33, 4 Sr 3.54
Cu  0.0000  0.5000  0.5000 (multiplicity 2)  2 F 2.50
F  0.0000  0.0000  0.5000 (multiplicity 1)  2 Sr 2.19

Calculated values
D(E_F): 0.839 states/eV/atom
Crystal system: tetragonal
Calculated total energy: -3.954 eV/atom
Formation energy from raw total energies: -0.339 eV per atom


4.
# SrScCu2F8

A geometry-optimized SrScCu2F8 structure (GGA-PBE, Alexandria).

abc: 5.2818 5.2818 7.3395
angles: 90.00 90.00 120.00
With the nearest neighbours (Å) after each atom.
Space group P-3 (No. 147)
One atom of each set of equivalent atoms:
Sr  0.0000  0.0000  0.0000 (multiplicity 1)  12 F 2.81-3.05
Sc  0.0000  0.0000  0.5000 (multiplicity 1)  6 F 2.03
Cu  0.3333  0.6667  0.7332 (multiplicity 2)  4 F 1.90-2.01
F  0.0235  0.7214  0.3204 (multiplicity 6)  1 Cu 2.01, 1 Sc 2.03
F  0.3333  0.6667  0.9921 (multiplicity 2)  1 Cu 1.90

Calculated values
D(E_F): 1.033 states/eV/atom
Crystal system: trigonal
Calculated total energy: -5.269 eV/atom
Formation energy from raw total energies: -2.671 eV per atom


5.
# Sc2TiCuF

A geometry-optimized Sc2TiCuF structure (GGA-PBE, Alexandria).

abc: 5.3165 5.3165 3.7155
angles: 90.00 90.00 90.00
With the nearest neighbours (Å) after each atom.
Space group P4/mmm (No. 123)
One atom of each set of equivalent atoms:
Sc  0.0000  0.5000  0.0000 (multiplicity 2)  2 Cu 2.66
Ti  0.0000  0.0000  0.5000 (multiplicity 1)  8 Sc 3.24
Cu  0.5000  0.5000  0.0000 (multiplicity 1)  2 F 1.86
F  0.5000  0.5000  0.5000 (multiplicity 1)  2 Cu 1.86

Calculated values
D(E_F): 1.466 states/eV/atom
Crystal system: tetragonal
Calculated total energy: -5.113 eV/atom
Formation energy from raw total energies: 0.192 eV per atom


6.
# ScTl2CuF6

A geometry-optimized ScTl2CuF6 structure (GGA-PBE, Alexandria).

abc: 6.5496 6.5496 7.9345
angles: 90.00 90.00 90.00
With the nearest neighbours (Å) after each atom.
Space group I4/mmm (No. 139)
One atom of each set of equivalent atoms:
Sc  0.0000  0.0000  0.0000 (multiplicity 2)  6 F 2.03-2.06
Tl  0.0000  0.5000  0.2500 (multiplicity 4)  12 F 3.06-3.28
Cu  0.0000  0.0000  0.5000 (multiplicity 2)  2 F 1.91
F  0.0000  0.0000  0.2595 (multiplicity 4)  1 Cu 1.91, 1 Sc 2.06
F  0.2187  0.2187  0.0000 (multiplicity 8)  1 Sc 2.03

Calculated values
Crystal system: tetragonal
Calculated total energy: -5.135 eV/atom
Formation energy from raw total energies: -2.496 eV per atom


7.
# ScTlCuF6

A geometry-optimized ScTlCuF6 structure (GGA-PBE, Alexandria).

abc: 5.7437 9.3485 5.9835
angles: 90.00 92.18 90.00
With the nearest neighbours (Å) after each atom.
Space group C2 (No. 5)
One atom of each set of equivalent atoms:
Sc  0.0000  0.0000  0.0000 (multiplicity 2)  6 F 1.97-2.11
Tl  0.0000  0.3333  0.5000 (multiplicity 2)  6 F 2.73-2.90
Cu  0.0000  0.6619  0.0000 (multiplicity 2)  4 F 1.94-1.95
F  0.1191  0.8196  0.1820 (multiplicity 4)  1 Cu 1.94, 1 Sc 2.11
F  0.1577  0.1291  0.2180 (multiplicity 4)  1 Sc 1.97
F  0.1877  0.5184  0.1613 (multiplicity 4)  1 Cu 1.95, 1 Sc 2.08

Calculated values
Crystal system: monoclinic
Calculated total energy: -5.335 eV/atom
Formation energy from raw total energies: -2.666 eV per atom


8.
# ScTlCu2F8

A geometry-optimized ScTlCu2F8 structure (GGA-PBE, Alexandria).

abc: 5.9570 5.9570 7.5597
angles: 90.00 90.00 120.00
With the nearest neighbours (Å) after each atom.
Space group P-3m1 (No. 164)
One atom of each set of equivalent atoms:
Sc  0.0000  0.0000  0.0000 (multiplicity 1)  6 F 2.03
Tl  0.0000  0.0000  0.5000 (multiplicity 1)  6 F 3.01
Cu  0.3333  0.6667  0.7419 (multiplicity 2)  4 F 1.82-1.97
F  0.1559  0.3117  0.8364 (multiplicity 6)  1 Cu 1.97, 1 Sc 2.03
F  0.3333  0.6667  0.5017 (multiplicity 2)  1 Cu 1.82

Calculated values
D(E_F): 1.101 states/eV/atom
Crystal system: trigonal
Calculated total energy: -4.897 eV/atom
Formation energy from raw total energies: -2.242 eV per atom


9.
# Sc3Tl2CuF12

A geometry-optimized Sc3Tl2CuF12 structure (GGA-PBE, Alexandria).

abc: 7.8267 7.8267 18.0625
angles: 90.00 90.00 120.00
With the nearest neighbours (Å) after each atom.
Space group R-3m (No. 166, hexagonal axes)
One atom of each set of equivalent atoms:
Sc  0.0000  0.5000  0.0000 (multiplicity 9)  6 F 2.00-2.04
Tl  0.0000  0.0000  0.1486 (multiplicity 6)  3 F 2.79
Cu  0.0000  0.0000  0.5000 (multiplicity 3)  6 F 2.31
F  0.0271  0.5135  0.1103 (multiplicity 18)  1 Sc 2.00
F  0.0847  0.5423  0.3440 (multiplicity 18)  2 Sc 2.04

Calculated values
Crystal system: trigonal
Calculated total energy: -5.913 eV/atom
Formation energy from raw total energies: -3.120 eV per atom


10.
# CuSe3F

A geometry-optimized CuSe3F structure (GGA-PBE, Alexandria).

abc: 4.7145 4.7145 4.7145
angles: 90.00 90.00 90.00
With the nearest neighbours (Å) after each atom.
Space group Pm-3m (No. 221)
One atom of each set of equivalent atoms:
Cu  0.0000  0.0000  0.0000 (multiplicity 1)  6 Se 2.36
Se  0.0000  0.0000  0.5000 (multiplicity 3)  2 Cu 2.36
F  0.5000  0.5000  0.5000 (multiplicity 1)  12 Se 3.33

Calculated values
D(E_F): 1.203 states/eV/atom
Crystal system: cubic
Calculated total energy: -2.916 eV/atom
Formation energy from raw total energies: 0.368 eV per atom


11.
# Cu3Se2F2

A geometry-optimized Cu3Se2F2 structure (GGA-PBE, Alexandria).

abc: 5.7858 7.9153 6.2584
angles: 90.00 118.60 90.00
With the nearest neighbours (Å) after each atom.
Space group P2_1/c (No. 14)
One atom of each set of equivalent atoms:
Cu  0.0000  0.0000  0.0000 (multiplicity 2)  2 F 2.00
Cu  0.3108  0.0672  0.6854 (multiplicity 4)  1 F 1.97
Se  0.3931  0.1565  0.0786 (multiplicity 4)  4 Cu 2.38-2.42
F  0.1208  0.5275  0.8550 (multiplicity 4)  2 Cu 1.97-2.00

Calculated values
D(E_F): 0.583 states/eV/atom
Crystal system: monoclinic
Calculated total energy: -3.960 eV/atom
Formation energy from raw total energies: -0.674 eV per atom


12.
# CuSe3F

A geometry-optimized CuSe3F structure (GGA-PBE, Alexandria).

abc: 4.6198 4.6198 4.6198
angles: 90.00 90.00 90.00
With the nearest neighbours (Å) after each atom.
Space group Pm-3m (No. 221)
One atom of each set of equivalent atoms:
Cu  0.0000  0.0000  0.0000 (multiplicity 1)  12 Se 3.27
Se  0.0000  0.5000  0.5000 (multiplicity 3)  2 F 2.31
F  0.5000  0.5000  0.5000 (multiplicity 1)  6 Se 2.31

Calculated values
D(E_F): 0.757 states/eV/atom
Crystal system: cubic
Calculated total energy: -2.662 eV/atom
Formation energy from raw total energies: 0.622 eV per atom


13.
# Cu2SeF

A geometry-optimized Cu2SeF structure (GGA-PBE, Alexandria).

abc: 13.3391 4.0570 5.0622
angles: 90.00 111.76 90.00
With the nearest neighbours (Å) after each atom.
Space group C2/m (No. 12)
One atom of each set of equivalent atoms:
Cu  0.1088  0.0000  0.3624 (multiplicity 4)  2 F 2.08
Cu  0.1966  0.5000  0.9944 (multiplicity 4)  1 F 2.34, 3 Se 2.35-2.49, 2 Cu 2.47
Se  0.1031  0.0000  0.8518 (multiplicity 4)  6 Cu 2.35-2.63
F  0.1445  0.5000  0.3880 (multiplicity 4)  2 Cu 2.08

Calculated values
D(E_F): 0.555 states/eV/atom
Crystal system: monoclinic
Calculated total energy: -3.987 eV/atom
Formation energy from raw total energies: -0.600 eV per atom


14.
# Cu2SeF

A geometry-optimized Cu2SeF structure (GGA-PBE, Alexandria).

abc: 3.8614 3.8614 17.5576
angles: 90.00 90.00 120.00
With the nearest neighbours (Å) after each atom.
Space group R-3m (No. 166, hexagonal axes)
One atom of each set of equivalent atoms:
Cu  0.0000  0.0000  0.1093 (multiplicity 6)  1 F 1.92
Se  0.0000  0.0000  0.5000 (multiplicity 3)  6 Cu 2.45
F  0.0000  0.0000  0.0000 (multiplicity 3)  2 Cu 1.92

Calculated values
D(E_F): 0.687 states/eV/atom
Crystal system: trigonal
Calculated total energy: -3.959 eV/atom
Formation energy from raw total energies: -0.572 eV per atom


15.
# Cu2SeF

A geometry-optimized Cu2SeF structure (GGA-PBE, Alexandria).

abc: 3.4203 3.4203 17.6154
angles: 90.00 90.00 120.00
With the nearest neighbours (Å) after each atom.
Space group R3m (No. 160, hexagonal axes)
One atom of each set of equivalent atoms:
Cu  0.0000  0.0000  0.0000 (multiplicity 3)  3 F 2.33, 3 Se 2.48
Cu  0.0000  0.0000  0.1649 (multiplicity 3)  3 Se 2.46, 3 F 2.59
Se  0.0000  0.0000  0.5810 (multiplicity 3)  6 Cu 2.46-2.48
F  0.0000  0.0000  0.4032 (multiplicity 3)  6 Cu 2.33-2.59

Calculated values
D(E_F): 0.344 states/eV/atom
Crystal system: trigonal
Calculated total energy: -3.839 eV/atom
Formation energy from raw total energies: -0.452 eV per atom


16.
# CuSe5F

A geometry-optimized CuSe5F structure (GGA-PBE, Alexandria).

abc: 3.8968 6.4199 7.5663
angles: 70.33 77.86 72.89
With the nearest neighbours (Å) after each atom.
Space group P1 (No. 1)
One atom of each set of equivalent atoms:
Cu  0.0000  0.0000  0.0000 (multiplicity 1)  5 Se 2.37-2.63
Se  0.2449  0.5550  0.1170 (multiplicity 1)  1 Se 2.39, 1 Cu 2.63
Se  0.3898  0.0485  0.1770 (multiplicity 1)  1 F 1.91
Se  0.4811  0.4859  0.6332 (multiplicity 1)  2 Se 2.41-2.46
Se  0.5589  0.0819  0.7842 (multiplicity 1)  1 Se 2.41, 2 Cu 2.44-2.51
Se  0.7471  0.5469  0.8739 (multiplicity 1)  2 Se 2.39-2.46
F  0.2536  0.9977  0.4428 (multiplicity 1)  1 Se 1.91

Calculated values
D(E_F): 0.187 states/eV/atom
Crystal system: triclinic
Calculated total energy: -3.572 eV/atom
Formation energy from raw total energies: -0.230 eV per atom


17.
# Cu3SeF

A geometry-optimized Cu3SeF structure (GGA-PBE, Alexandria).

abc: 4.5164 4.5164 4.5164
angles: 90.00 90.00 90.00
With the nearest neighbours (Å) after each atom.
Space group Pm-3m (No. 221)
One atom of each set of equivalent atoms:
Cu  0.0000  0.0000  0.5000 (multiplicity 3)  2 Se 2.26
Se  0.0000  0.0000  0.0000 (multiplicity 1)  6 Cu 2.26
F  0.5000  0.5000  0.5000 (multiplicity 1)  12 Cu 3.19

Calculated values
D(E_F): 0.000 states/eV/atom
Crystal system: cubic
Calculated total energy: -3.611 eV/atom
Formation energy from raw total energies: -0.082 eV per atom


18.
# Cu2SeF

A geometry-optimized Cu2SeF structure (GGA-PBE, Alexandria).

abc: 5.0608 5.0608 10.9320
angles: 90.00 90.00 90.00
With the nearest neighbours (Å) after each atom.
Space group I-42d (No. 122)
One atom of each set of equivalent atoms:
Cu  0.2246  0.2500  0.1250 (multiplicity 8)  2 F 2.18, 2 Se 2.33
Se  0.0000  0.0000  0.5000 (multiplicity 4)  4 Cu 2.33
F  0.0000  0.0000  0.0000 (multiplicity 4)  4 Cu 2.18

Calculated values
D(E_F): 1.172 states/eV/atom
Crystal system: tetragonal
Calculated total energy: -3.915 eV/atom
Formation energy from raw total energies: -0.527 eV per atom


19.
# Cu3SeF

A geometry-optimized Cu3SeF structure (GGA-PBE, Alexandria).

abc: 4.1862 4.1862 4.1862
angles: 90.00 90.00 90.00
With the nearest neighbours (Å) after each atom.
Space group Pm-3m (No. 221)
One atom of each set of equivalent atoms:
Cu  0.0000  0.0000  0.5000 (multiplicity 3)  2 F 2.09
Se  0.5000  0.5000  0.5000 (multiplicity 1)  12 Cu 2.96
F  0.0000  0.0000  0.0000 (multiplicity 1)  6 Cu 2.09

Calculated values
D(E_F): 0.151 states/eV/atom
Crystal system: cubic
Calculated total energy: -3.556 eV/atom
Formation energy from raw total energies: -0.028 eV per atom


20.
# CuSeF2

A geometry-optimized CuSeF2 structure (GGA-PBE, Alexandria).

abc: 6.9210 6.9210 5.0230
angles: 90.00 90.00 90.00
With the nearest neighbours (Å) after each atom.
Space group I-42d (No. 122)
One atom of each set of equivalent atoms:
Cu  0.0000  0.0000  0.0000 (multiplicity 4)  4 F 2.00
Se  0.0000  0.0000  0.5000 (multiplicity 4)  2 Cu 2.51, 4 F 2.67
F  0.1126  0.2500  0.1250 (multiplicity 8)  2 Cu 2.00

Calculated values
D(E_F): 0.961 states/eV/atom
Crystal system: tetragonal
Calculated total energy: -3.421 eV/atom
Formation energy from raw total energies: -0.590 eV per atom


21.
# CuSeF2

A geometry-optimized CuSeF2 structure (GGA-PBE, Alexandria).

abc: 2.8789 2.8789 23.5510
angles: 90.00 90.00 120.00
With the nearest neighbours (Å) after each atom.
Space group R-3m (No. 166, hexagonal axes)
One atom of each set of equivalent atoms:
Cu  0.0000  0.0000  0.0000 (multiplicity 3)  2 F 1.80
Se  0.0000  0.0000  0.5000 (multiplicity 3)  6 F 2.70, 6 Se 2.88
F  0.0000  0.0000  0.0764 (multiplicity 6)  1 Cu 1.80

Calculated values
D(E_F): 0.548 states/eV/atom
Crystal system: trigonal
Calculated total energy: -3.478 eV/atom
Formation energy from raw total energies: -0.647 eV per atom


22.
# Cu3SeF

A geometry-optimized Cu3SeF structure (GGA-PBE, Alexandria).

abc: 5.7165 5.7165 16.4210
angles: 90.00 90.00 120.00
With the nearest neighbours (Å) after each atom.
Space group R3c (No. 161, hexagonal axes)
One atom of each set of equivalent atoms:
Cu  0.0280  0.2681  0.0000 (multiplicity 18)  1 F 2.07
Se  0.0000  0.0000  0.1176 (multiplicity 6)  6 Cu 2.41-2.42
F  0.0000  0.0000  0.3204 (multiplicity 6)  3 Cu 2.07

Calculated values
Crystal system: trigonal
Calculated total energy: -3.946 eV/atom
Formation energy from raw total energies: -0.417 eV per atom